Entry 1:
An optimized crystal structure of EuIBr2, computed with PBE.

The structure belongs to space group R-3m (No. 166, hexagonal axes); the cell edges are 4.3519, 4.3519 and 34.9616 Å and the angles 90.00°, 90.00° and 120.00°. Symmetry generates all atoms from Eu at (0.0000, 0.0000, 0.0000), I at (0.0000, 0.0000, 0.5000) and Br at (0.0000, 0.0000, 0.3799).

The raw total energy is -5.118 eV/atom.

Entry 2:
An optimized crystal structure of EuIn2Br4, computed with PBE.

The structure belongs to space group I4/mmm (No. 139); the cell edges are 5.945, 5.945 and 16.230 Å and the angles 90.00°, 90.00° and 90.00°. Symmetry generates all atoms from Eu at (0.000, 0.000, 0.000), In at (0.000, 0.000, 0.365), Br at (0.000, 0.000, 0.183) and Br at (0.000, 0.500, 0.000).

The raw total energy is -4.374 eV/atom.

Q: The lowest raw total energy belongs to which entry?
A: EuIBr2